1.
Here is an optimized crystal structure of DyLuGa2 from the Alexandria database. Energies are from PBE. Values from VASP.

Cell and atoms, written as Quantum ESPRESSO input:
```
&SYSTEM
  ibrav = 0, nat = 4, ntyp = 3
/
ATOMIC_SPECIES
Dy 162.50 Dy.upf
Lu 174.97 Lu.upf
Ga 69.72 Ga.upf
CELL_PARAMETERS angstrom
3.5333 0.0000 0.0000
0.0000 3.5333 0.0000
0.0000 0.0000 7.0751
ATOMIC_POSITIONS angstrom
Dy 0.0000 0.0000 0.0000
Lu 0.0000 0.0000 3.5375
Ga 1.7667 1.7667 1.8245
Ga 1.7667 1.7667 5.2506
```

Computed properties:
For the formation energy, the calculation gives -570 meV per atom.

2.
Here is an optimized crystal structure of DyLuGa from the Alexandria database. Energies are from PBE. Values from VASP.

Cell and atoms, written as Quantum ESPRESSO input:
```
&SYSTEM
  ibrav = 0, nat = 6, ntyp = 3
/
ATOMIC_SPECIES
Dy 162.50 Dy.upf
Lu 174.97 Lu.upf
Ga 69.72 Ga.upf
CELL_PARAMETERS angstrom
3.4303 0.0000 0.0000
0.0000 3.4303 0.0000
0.0000 0.0000 12.8833
ATOMIC_POSITIONS angstrom
Dy 0.0000 0.0000 0.0000
Dy 1.7152 1.7152 6.4416
Lu 0.0000 0.0000 9.1024
Lu 1.7152 1.7152 2.6608
Ga 0.0000 0.0000 4.5061
Ga 1.7152 1.7152 10.9477
```

Computed properties:
For the formation energy, the calculation gives -381 meV per atom. For the polymorph energy (0 for the lowest one), the calculation gives 0.00 eV per formula unit.

formation energy of number 1 (DyLuGa2)? -570 meV per atom